# 1
# PBE with a Hubbard U TaBi2WF, relaxed
# crystal system = tetragonal
data_TaBi2WF
_chemical_formula_sum 'Ta1 Bi2 W1 F1'
_space_group_name_H-M_alt 'P 1'
_space_group_IT_number 1
_cell_length_a 5.2962
_cell_length_b 4.0573
_cell_length_c 5.2962
_cell_angle_alpha 90.00
_cell_angle_beta 90.00
_cell_angle_gamma 90.00
loop_
_space_group_symop_operation_xyz
'x,y,z'
loop_
_atom_site_label
_atom_site_type_symbol
_atom_site_fract_x
_atom_site_fract_y
_atom_site_fract_z
_atom_site_occupancy
F1 F 0.0000 0.0000 0.0000 1
Bi1 Bi 0.0000 0.0000 0.5000 1
Bi2 Bi 0.5000 0.0000 0.0000 1
Ta1 Ta 0.0000 0.5000 0.0000 1
W1 W 0.5000 0.5000 0.5000 1

# 2
# PBE with a Hubbard U SrAgW2O8, relaxed
# crystal system = tetragonal
data_SrAgW2O8
_chemical_formula_sum 'Sr1 Ag1 W2 O8'
_space_group_name_H-M_alt 'P 1'
_space_group_IT_number 1
_cell_length_a 6.4168
_cell_length_b 6.4168
_cell_length_c 6.4168
_cell_angle_alpha 107.47
_cell_angle_beta 107.47
_cell_angle_gamma 113.55
loop_
_space_group_symop_operation_xyz
'x,y,z'
loop_
_atom_site_label
_atom_site_type_symbol
_atom_site_fract_x
_atom_site_fract_y
_atom_site_fract_z
_atom_site_occupancy
O1 O 0.4010 0.0905 0.3105 1
O2 O 0.3458 0.5367 0.1909 1
O3 O 0.4633 0.6542 0.8091 1
O4 O 0.9095 0.2201 0.3105 1
O5 O 0.9095 0.5990 0.6895 1
O6 O 0.7799 0.0905 0.6895 1
O7 O 0.3458 0.1549 0.8091 1
O8 O 0.8451 0.6542 0.1909 1
Sr1 Sr 0.2500 0.7500 0.5000 1
Ag1 Ag 0.0000 0.0000 0.0000 1
W1 W 0.7500 0.2500 0.5000 1
W2 W 0.5000 0.5000 0.0000 1

| no. | V (Å³ per atom) | total energy (eV/atom) |
| --- | --- | --- |
| 1 | 22.76 | -5.21 |
| 2 | 16.88 | -6.63 |